[1]
5
Lattice="3.9493 0.0000 0.0000 0.0000 3.9493 0.0000 0.0000 0.0000 3.9493" Properties=species:S:1:pos:R:3 comment="meta-GGA SCAN NbTc3H, single point on PBEsol structure" energy_ev_per_atom=-28.332 total_magnetization_mub_per_cell=0.00 pbc="T T T"
Nb 0.0000 0.0000 0.0000
Tc 0.0000 1.9746 1.9746
Tc 1.9746 0.0000 1.9746
Tc 1.9746 1.9746 0.0000
H 1.9746 1.9746 1.9746

[2]
6
Lattice="5.8222 -1.6438 0.0000 5.8222 1.6438 0.0000 -1.9099 0.0000 7.2772" Properties=species:S:1:pos:R:3 comment="meta-GGA SCAN Sc5Pb, single point on PBEsol structure" formation_energy_ev_per_atom=-0.223 total_magnetization_mub_per_cell=0.00 pbc="T T T"
Sc 0.0000 0.0000 0.0000
Sc -0.6965 0.0000 4.4218
Sc 4.0434 0.0000 1.9679
Sc 7.0947 0.0000 2.4409
Sc 6.5432 0.0000 6.8412
Pb 2.5024 0.0000 4.8151

[3]
5
Lattice="5.0373 0.0000 0.0000 0.0000 5.0373 0.0000 0.0000 0.0000 4.8668" Properties=species:S:1:pos:R:3 comment="meta-GGA SCAN MgZnHgSe2, single point on PBEsol structure" formation_energy_uncorrected_ev_per_atom=0.01 total_magnetization_mub_per_cell=0.00 pbc="T T T"
Mg 0.0000 0.0000 0.0000
Zn 2.5187 2.5187 2.4334
Hg 2.5187 2.5187 0.0000
Se 0.0000 2.5187 2.4334
Se 2.5187 0.0000 2.4334

[4]
6
Lattice="1.9629 -4.5405 0.0000 1.9629 4.5405 0.0000 0.0000 0.0000 3.9253" Properties=species:S:1:pos:R:3 comment="meta-GGA SCAN BeOsRu, single point on PBEsol structure" formation_energy_ev_per_atom=-0.251 total_magnetization_mub_per_cell=0.00 pbc="T T T"
Be 1.9629 2.2921 2.9439
Be 1.9629 -2.2921 0.9813
Os 1.9629 0.8423 0.9813
Os 1.9629 -0.8423 2.9439
Ru 1.9629 3.6679 0.9813
Ru 1.9629 -3.6679 2.9439

Result set for theoretical density: 10.457; 5.150; 6.027; 14.254 g/cm³, one per record in the order listed.